(1)
A geometry-optimized SrIr3 structure. Source: the Alexandria database, functional PBE.

Properties
calculated total energy = -6.80 eV/atom
size of the total moment = 0.00 μB per atom

Cell: 2.916 2.916 8.387 Å, 90.00 90.00 90.00°
Space group P4/mmm (No. 123)
Inequivalent atoms, fractional coordinates:
Sr: 0.000 0.000 0.000 [1 per cell]
Ir: 0.000 0.000 0.500 [1 per cell]
Ir: 0.500 0.500 0.294 [2 per cell]

***

(2)
A geometry-optimized Sr5Ir4 structure. Source: the Alexandria database, functional PBE.

Properties
calculated total energy = -4.64 eV/atom
size of the total moment = 0.00 μB per atom

Cell: 9.0161 9.0161 6.5665 Å, 90.00 90.00 120.00°
Space group P6_3/mcm (No. 193)
Inequivalent atoms, fractional coordinates:
Sr: 0.0000 0.2728 0.2500 [6 per cell]
Sr: 0.3333 0.6667 0.0000 [4 per cell]
Ir: 0.0000 0.0000 0.0000 [2 per cell]
Ir: 0.0000 0.3839 0.7500 [6 per cell]

***

(3)
A geometry-optimized SrIr3 structure. Source: the Alexandria database, functional PBE.

Properties
calculated total energy = -6.53 eV/atom
size of the total moment = 0.23 μB per atom

Cell: 4.956 4.956 2.872 Å, 90.00 90.00 90.00°
Space group P4/mmm (No. 123)
Inequivalent atoms, fractional coordinates:
Sr: 0.000 0.000 0.000 [1 per cell]
Ir: 0.000 0.500 0.500 [2 per cell]
Ir: 0.500 0.500 0.000 [1 per cell]

***

Listing theoretical density for the structures above in their given order: 15.5; 8.7; 15.6 g/cm³.